(1)
A plane-wave DFT calculation with PBE was carried out for a relaxed Tl2MoAs crystal.

Polymorph energy (0 for the lowest one) in meV per atom: 101
Energy relative to the elements in eV/atom: 0.269

Geometry as CIF:
```
data_Tl2MoAs
_chemical_formula_sum 'Tl4 Mo2 As2'
_cell_length_a 3.089
_cell_length_b 4.051
_cell_length_c 15.779
_cell_angle_alpha 90.00
_cell_angle_beta 90.00
_cell_angle_gamma 90.00
_space_group_name_H-M_alt 'I m m m'
_space_group_IT_number 71
_space_group_name_Hall '-I 2 2'
loop_
_atom_site_label
_atom_site_type_symbol
_atom_site_fract_x
_atom_site_fract_y
_atom_site_fract_z
_atom_site_occupancy
Tl1 Tl 0.000 0.000 0.175 1
Mo1 Mo 0.000 0.500 0.500 1
As1 As 0.000 0.500 0.000 1
```



(2)
A plane-wave DFT calculation with PBE was carried out for a relaxed HgPdIO2 crystal.

Polymorph energy (0 for the lowest one) in meV per atom: 0
Formation energy without anion corrections in eV per atom: 0.181

Geometry as CIF:
```
data_HgPdIO2
_chemical_formula_sum 'Hg1 Pd1 I1 O2'
_cell_length_a 4.034
_cell_length_b 4.034
_cell_length_c 6.968
_cell_angle_alpha 90.00
_cell_angle_beta 90.00
_cell_angle_gamma 90.00
_space_group_name_H-M_alt 'P 4/m m m'
_space_group_IT_number 123
_space_group_name_Hall '-P 4 2'
loop_
_atom_site_label
_atom_site_type_symbol
_atom_site_fract_x
_atom_site_fract_y
_atom_site_fract_z
_atom_site_occupancy
Hg1 Hg 0.000 0.000 0.000 1
Pd1 Pd 0.500 0.500 0.500 1
I1 I 0.500 0.500 0.000 1
O1 O 0.000 0.500 0.500 1
```



(3)
A plane-wave DFT calculation with PBE was carried out for a relaxed Cs3LiPt crystal.

Polymorph energy (0 for the lowest one) in meV per atom: 0
Energy relative to the elements in eV/atom: 0.105

Geometry as CIF:
```
data_Cs3LiPt
_chemical_formula_sum 'Cs3 Li1 Pt1'
_cell_length_a 6.771
_cell_length_b 6.771
_cell_length_c 6.771
_cell_angle_alpha 90.00
_cell_angle_beta 90.00
_cell_angle_gamma 90.00
_space_group_name_H-M_alt 'P m -3 m'
_space_group_IT_number 221
_space_group_name_Hall '-P 4 2 3'
loop_
_atom_site_label
_atom_site_type_symbol
_atom_site_fract_x
_atom_site_fract_y
_atom_site_fract_z
_atom_site_occupancy
Cs1 Cs 0.000 0.000 0.500 1
Li1 Li 0.500 0.500 0.500 1
Pt1 Pt 0.000 0.000 0.000 1
```



(4)
A plane-wave DFT calculation with PBE was carried out for a relaxed Th4CoPd3 crystal.

Energy relative to the elements in eV/atom: -0.631

Geometry as CIF:
```
data_Th4CoPd3
_chemical_formula_sum 'Th4 Co1 Pd3'
_cell_length_a 3.854
_cell_length_b 4.473
_cell_length_c 11.096
_cell_angle_alpha 90.00
_cell_angle_beta 90.00
_cell_angle_gamma 90.00
_space_group_name_H-M_alt 'P m m 2'
_space_group_IT_number 25
loop_
_space_group_symop_operation_xyz
'x,y,z'
'-x,-y,z'
'-x,y,z'
'x,-y,z'
loop_
_atom_site_label
_atom_site_type_symbol
_atom_site_fract_x
_atom_site_fract_y
_atom_site_fract_z
_atom_site_occupancy
Th1 Th 0.000 0.000 0.000 1
Th2 Th 0.000 0.500 0.262 1
Th3 Th 0.500 0.000 0.474 1
Th4 Th 0.500 0.500 0.760 1
Co1 Co 0.500 0.000 0.226 1
Pd1 Pd 0.000 0.000 0.718 1
Pd2 Pd 0.000 0.500 0.537 1
Pd3 Pd 0.500 0.500 0.038 1
```



(5)
A plane-wave DFT calculation with PBE was carried out for a relaxed NdHoMg2Pd4 crystal.

Energy relative to the elements in eV/atom: -0.766

Geometry as CIF:
```
data_NdHoMg2Pd4
_chemical_formula_sum 'Nd3 Ho3 Mg6 Pd12'
_cell_length_a 4.5933
_cell_length_b 4.5933
_cell_length_c 26.6426
_cell_angle_alpha 90.00
_cell_angle_beta 90.00
_cell_angle_gamma 120.00
_space_group_name_H-M_alt 'R -3 m'
_space_group_IT_number 166
_space_group_name_Hall '-R 3 2"'
loop_
_atom_site_label
_atom_site_type_symbol
_atom_site_fract_x
_atom_site_fract_y
_atom_site_fract_z
_atom_site_occupancy
Nd1 Nd 0.0000 0.0000 0.0000 1
Ho1 Ho 0.0000 0.0000 0.5000 1
Mg1 Mg 0.0000 0.0000 0.2456 1
Pd1 Pd 0.0000 0.0000 0.1168 1
Pd2 Pd 0.0000 0.0000 0.3932 1
```



(6)
A plane-wave DFT calculation with PBE was carried out for a relaxed PrTmCd6 crystal.

Energy relative to the elements in eV/atom: -0.273

Geometry as CIF:
```
data_PrTmCd6
_chemical_formula_sum 'Pr2 Tm2 Cd12'
_cell_length_a 4.908
_cell_length_b 7.253
_cell_length_c 10.993
_cell_angle_alpha 90.00
_cell_angle_beta 90.00
_cell_angle_gamma 90.00
_space_group_name_H-M_alt 'A m m 2'
_space_group_IT_number 38
loop_
_space_group_symop_operation_xyz
'x,y,z'
'-x,-y,z'
'-x,y,z'
'x,-y,z'
'x,y+1/2,z+1/2'
'-x,-y+1/2,z+1/2'
'-x,y+1/2,z+1/2'
'x,-y+1/2,z+1/2'
loop_
_atom_site_label
_atom_site_type_symbol
_atom_site_fract_x
_atom_site_fract_y
_atom_site_fract_z
_atom_site_occupancy
Pr1 Pr 0.000 0.000 0.000 1
Tm1 Tm 0.500 0.000 0.728 1
Cd1 Cd 0.000 0.000 0.542 1
Cd2 Cd 0.000 0.217 0.269 1
Cd3 Cd 0.500 0.000 0.195 1
Cd4 Cd 0.500 0.211 0.458 1
```



(7)
A plane-wave DFT calculation with PBE was carried out for a relaxed Y2GaFe crystal.

Polymorph energy (0 for the lowest one) in meV per atom: 611
Energy relative to the elements in eV/atom: 0.387

Geometry as CIF:
```
data_Y2GaFe
_chemical_formula_sum 'Y6 Ga3 Fe3'
_cell_length_a 3.3214
_cell_length_b 3.3214
_cell_length_c 30.1446
_cell_angle_alpha 90.00
_cell_angle_beta 90.00
_cell_angle_gamma 120.00
_space_group_name_H-M_alt 'R -3 m'
_space_group_IT_number 166
_space_group_name_Hall '-R 3 2"'
loop_
_atom_site_label
_atom_site_type_symbol
_atom_site_fract_x
_atom_site_fract_y
_atom_site_fract_z
_atom_site_occupancy
Y1 Y 0.0000 0.0000 0.0894 1
Ga1 Ga 0.0000 0.0000 0.5000 1
Fe1 Fe 0.0000 0.0000 0.0000 1
```



(8)
A plane-wave DFT calculation with PBE was carried out for a relaxed Hf3ZnRu4 crystal.

Energy relative to the elements in eV/atom: -0.629

Geometry as CIF:
```
data_Hf3ZnRu4
_chemical_formula_sum 'Hf3 Zn1 Ru4'
_cell_length_a 3.225
_cell_length_b 3.225
_cell_length_c 12.516
_cell_angle_alpha 90.00
_cell_angle_beta 90.00
_cell_angle_gamma 90.00
_space_group_name_H-M_alt 'P 4/m m m'
_space_group_IT_number 123
_space_group_name_Hall '-P 4 2'
loop_
_atom_site_label
_atom_site_type_symbol
_atom_site_fract_x
_atom_site_fract_y
_atom_site_fract_z
_atom_site_occupancy
Hf1 Hf 0.000 0.000 0.000 1
Hf2 Hf 0.000 0.000 0.263 1
Zn1 Zn 0.000 0.000 0.500 1
Ru1 Ru 0.500 0.500 0.128 1
Ru2 Ru 0.500 0.500 0.385 1
```